# 1
Density functional theory data (PBE) for an optimized crystal structure of Ca2LaNd.

The structure in CIF format:
```
data_Ca2LaNd
_space_group_name_H-M_alt 'P 1'
_space_group_IT_number 1
_space_group_name_Hall 'P 1'
_cell_length_a 4.255
_cell_length_b 4.255
_cell_length_c 8.520
_cell_angle_alpha 90.00
_cell_angle_beta 90.00
_cell_angle_gamma 90.00
loop_
_atom_site_label
_atom_site_type_symbol
_atom_site_fract_x
_atom_site_fract_y
_atom_site_fract_z
_atom_site_occupancy
Ca1 Ca 0.000 0.000 0.244 1
Ca2 Ca 0.000 0.000 0.756 1
La1 La 0.500 0.500 0.500 1
Nd1 Nd 0.500 0.500 0.000 1
```

Computed properties:
calculated volume	38.564	Å³ per atom
magnetization	0.00	μB per formula unit
VASP energy	-13.3	eV per formula unit
space group	No. 123

---

# 2
Density functional theory data (PBE) for an optimized crystal structure of Ca2LaNd.

The structure in CIF format:
```
data_Ca2LaNd
_space_group_name_H-M_alt 'P 1'
_space_group_IT_number 1
_space_group_name_Hall 'P 1'
_cell_length_a 13.626
_cell_length_b 13.626
_cell_length_c 13.626
_cell_angle_alpha 15.32
_cell_angle_beta 15.32
_cell_angle_gamma 15.32
loop_
_atom_site_label
_atom_site_type_symbol
_atom_site_fract_x
_atom_site_fract_y
_atom_site_fract_z
_atom_site_occupancy
Ca1 Ca 0.089 0.089 0.089 1
Ca2 Ca 0.911 0.911 0.911 1
La1 La 0.000 0.000 0.000 1
Nd1 Nd 0.500 0.500 0.500 1
```

Computed properties:
calculated volume	38.481	Å³ per atom
magnetization	0.40	μB per formula unit
VASP energy	-13.0	eV per formula unit
space group	No. 166

---

# 3
Density functional theory data (PBE) for an optimized crystal structure of CaLa5Nd8.

The structure in CIF format:
```
data_CaLa5Nd8
_space_group_name_H-M_alt 'P 1'
_space_group_IT_number 1
_space_group_name_Hall 'P 1'
_cell_length_a 8.769
_cell_length_b 8.769
_cell_length_c 8.769
_cell_angle_alpha 110.85
_cell_angle_beta 110.85
_cell_angle_gamma 106.75
loop_
_atom_site_label
_atom_site_type_symbol
_atom_site_fract_x
_atom_site_fract_y
_atom_site_fract_z
_atom_site_occupancy
Ca1 Ca 0.000 0.000 0.000 1
La1 La 0.217 0.037 0.606 1
La2 La 0.388 0.783 0.820 1
La3 La 0.432 0.612 0.394 1
La4 La 0.750 0.250 0.500 1
La5 La 0.963 0.568 0.180 1
Nd1 Nd 0.076 0.319 0.408 1
Nd2 Nd 0.179 0.425 0.900 1
Nd3 Nd 0.332 0.924 0.242 1
Nd4 Nd 0.526 0.279 0.100 1
Nd5 Nd 0.575 0.474 0.753 1
Nd6 Nd 0.681 0.090 0.758 1
Nd7 Nd 0.721 0.821 0.247 1
Nd8 Nd 0.910 0.668 0.592 1
```

Computed properties:
calculated volume	37.019	Å³ per atom
magnetization	0.00	μB per formula unit
VASP energy	-61.9	eV per formula unit
space group	No. 82

---

# 4
Density functional theory data (PBE) for an optimized crystal structure of CaLa2Nd7.

The structure in CIF format:
```
data_CaLa2Nd7
_space_group_name_H-M_alt 'P 1'
_space_group_IT_number 1
_space_group_name_Hall 'P 1'
_cell_length_a 9.487
_cell_length_b 9.487
_cell_length_c 5.610
_cell_angle_alpha 90.00
_cell_angle_beta 90.00
_cell_angle_gamma 124.00
loop_
_atom_site_label
_atom_site_type_symbol
_atom_site_fract_x
_atom_site_fract_y
_atom_site_fract_z
_atom_site_occupancy
Ca1 Ca 0.000 0.000 0.000 1
La1 La 0.297 0.703 0.500 1
La2 La 0.703 0.297 0.500 1
Nd1 Nd 0.068 0.299 0.500 1
Nd2 Nd 0.231 0.769 0.000 1
Nd3 Nd 0.299 0.068 0.500 1
Nd4 Nd 0.500 0.500 0.500 1
Nd5 Nd 0.701 0.932 0.500 1
Nd6 Nd 0.769 0.231 0.000 1
Nd7 Nd 0.932 0.701 0.500 1
```

Computed properties:
calculated volume	41.861	Å³ per atom
magnetization	0.00	μB per formula unit
VASP energy	-39.6	eV per formula unit
space group	No. 65